NaAc2Y: relaxed, PBE-GGA.

a b c (Å): 12.814 12.814 12.814
angles (deg): 17.30 17.30 17.30
Fractional coordinates of all 4 atoms:
1 Na 0.000 0.000 0.000
2 Ac 0.421 0.421 0.421
3 Ac 0.578 0.578 0.578
4 Y 0.833 0.833 0.833

Output
energy relative to the lowest polymorph listed for this composition: 0.00 kcal/mol of atoms
density: 5.8 Mg/m³
uncorrected energy: -3.929 eV/atom
calculated formation energy: 27.2 kJ/mol of formula units
space-group type: R3m, No. 160